Cr2AgPbO8, optimized geometry, DFT GGA+U; calculated total energy = -72.44 eV for the cell shown; symmetry = R-3; M_tot = 1.04 μB/f.u.
1.0
2.5757 1.4871 7.2970
-2.5757 1.4871 7.2970
0.0000 -2.9742 7.2970
Cr Ag Pb O
2 1 1 8
Direct
0.2487 0.2487 0.2487 Cr
0.7513 0.7513 0.7513 Cr
0.0000 0.0000 0.0000 Ag
0.5000 0.5000 0.5000 Pb
0.0466 0.7103 0.4279 O
0.1727 0.1727 0.1727 O
0.2897 0.5721 0.9534 O
0.4279 0.0466 0.7103 O
0.5721 0.9534 0.2897 O
0.7103 0.4279 0.0466 O
0.8273 0.8273 0.8273 O
0.9534 0.2897 0.5721 O